(1)
! PBE-GGA Sm2Ho3Mg, optimized geometry; values from VASP
&SYSTEM
  ibrav = 0, nat = 6, ntyp = 3
/
ATOMIC_SPECIES
Sm 150.36 Sm.upf
Ho 164.93 Ho.upf
Mg 24.30 Mg.upf
CELL_PARAMETERS angstrom
3.302 0.000 0.000
0.000 11.727 0.000
-1.651 -5.864 5.005
ATOMIC_POSITIONS crystal
Sm 0.829 0.573 0.658
Sm 0.171 0.915 0.342
Ho 0.000 0.012 0.000
Ho 0.336 0.329 0.671
Ho 0.664 0.658 0.329
Mg 0.500 0.255 0.000
! Crystal system: orthorhombic
! Symmetry: Imm2 (44)
! V (Å³/cell): 193.8

(2)
! PBE-GGA Sm2Ho3Mg, optimized geometry; values from VASP
&SYSTEM
  ibrav = 0, nat = 12, ntyp = 3
/
ATOMIC_SPECIES
Sm 150.36 Sm.upf
Ho 164.93 Ho.upf
Mg 24.30 Mg.upf
CELL_PARAMETERS angstrom
5.837 1.989 -4.401
-1.442 7.412 -0.606
-1.566 -1.220 9.594
ATOMIC_POSITIONS crystal
Sm 0.702 0.070 0.306
Sm 0.298 0.930 0.694
Sm 0.736 0.604 0.806
Sm 0.264 0.396 0.194
Ho 0.775 0.671 0.485
Ho 0.225 0.329 0.515
Ho 0.686 0.289 0.015
Ho 0.800 0.050 0.750
Ho 0.314 0.711 0.985
Ho 0.200 0.950 0.250
Mg 0.929 0.679 0.250
Mg 0.071 0.321 0.750
! Crystal system: monoclinic
! Symmetry: C2/c (15)
! V (Å³/cell): 381.4

Quick one: least stable of them? (1)

(1)
! PBE-GGA Sm12Ho7Mg, optimized geometry; values from VASP
&SYSTEM
  ibrav = 0, nat = 20, ntyp = 3
/
ATOMIC_SPECIES
Sm 150.36 Sm.upf
Ho 164.93 Ho.upf
Mg 24.30 Mg.upf
CELL_PARAMETERS angstrom
9.294 -0.121 -0.182
-2.701 8.894 -0.182
-2.701 -3.593 8.138
ATOMIC_POSITIONS crystal
Sm 0.781 0.325 0.619
Sm 0.675 0.381 0.219
Sm 0.401 0.058 0.295
Sm 0.942 0.705 0.599
Sm 0.381 0.219 0.675
Sm 0.705 0.599 0.942
Sm 0.295 0.401 0.058
Sm 0.619 0.781 0.325
Sm 0.058 0.295 0.401
Sm 0.599 0.942 0.705
Sm 0.325 0.619 0.781
Sm 0.219 0.675 0.381
Ho 0.103 0.684 0.993
Ho 0.316 0.007 0.897
Ho 0.007 0.897 0.316
Ho 0.500 0.500 0.500
Ho 0.993 0.103 0.684
Ho 0.684 0.993 0.103
Ho 0.897 0.316 0.007
Mg 0.000 0.000 0.000
! Crystal system: trigonal
! Symmetry: R-3 (148)
! V (Å³/cell): 657.8

(2)
! PBE-GGA Sm12Ho7Mg, optimized geometry; values from VASP
&SYSTEM
  ibrav = 0, nat = 20, ntyp = 3
/
ATOMIC_SPECIES
Sm 150.36 Sm.upf
Ho 164.93 Ho.upf
Mg 24.30 Mg.upf
CELL_PARAMETERS angstrom
-9.422 -0.314 3.096
3.195 -9.217 -1.811
5.653 4.140 7.025
ATOMIC_POSITIONS crystal
Sm 0.506 0.753 0.753
Sm 0.000 0.753 0.247
Sm 0.494 0.247 0.247
Sm 0.000 0.247 0.753
Sm 0.753 0.000 0.247
Sm 0.753 0.506 0.753
Sm 0.247 0.000 0.753
Sm 0.247 0.494 0.247
Sm 0.753 0.753 0.506
Sm 0.247 0.247 0.494
Sm 0.753 0.247 0.000
Sm 0.247 0.753 0.000
Ho 0.500 0.500 0.000
Ho 0.000 0.500 0.500
Ho 0.500 0.000 0.500
Ho 0.500 0.500 0.500
Ho 0.000 0.000 0.500
Ho 0.500 0.000 0.000
Ho 0.000 0.500 0.000
Mg 0.000 0.000 0.000
! Crystal system: cubic
! Symmetry: Im-3m (229)
! V (Å³/cell): 752.0

Quick one: least stable of them? (2)

(1)
! PBE-GGA Sm6Ho4Mg, optimized geometry; values from VASP
&SYSTEM
  ibrav = 0, nat = 11, ntyp = 3
/
ATOMIC_SPECIES
Sm 150.36 Sm.upf
Ho 164.93 Ho.upf
Mg 24.30 Mg.upf
CELL_PARAMETERS angstrom
-8.057 -0.594 0.384
0.376 -7.316 -3.429
4.285 1.437 6.943
ATOMIC_POSITIONS crystal
Sm 0.041 0.403 0.444
Sm 0.403 0.041 0.444
Sm 0.597 0.597 0.556
Sm 0.000 0.500 0.000
Sm 0.959 0.959 0.556
Sm 0.500 0.000 0.000
Ho 0.103 0.770 0.872
Ho 0.897 0.897 0.128
Ho 0.770 0.103 0.872
Ho 0.230 0.230 0.128
Mg 0.500 0.500 0.000
! Crystal system: tetragonal
! Symmetry: I-42m (121)
! V (Å³/cell): 392.1

(2)
! PBE-GGA Sm6Ho4Mg, optimized geometry; values from VASP
&SYSTEM
  ibrav = 0, nat = 11, ntyp = 3
/
ATOMIC_SPECIES
Sm 150.36 Sm.upf
Ho 164.93 Ho.upf
Mg 24.30 Mg.upf
CELL_PARAMETERS angstrom
7.427 -3.015 -5.530
-5.163 8.010 2.006
-1.944 3.015 9.054
ATOMIC_POSITIONS crystal
Sm 0.000 0.808 0.461
Sm 0.000 0.461 0.808
Sm 0.347 0.539 0.539
Sm 0.500 0.500 0.000
Sm 0.653 0.192 0.192
Sm 0.500 0.000 0.500
Ho 0.000 0.647 0.011
Ho 0.364 0.353 0.353
Ho 0.000 0.011 0.647
Ho 0.636 0.989 0.989
Mg 0.000 0.000 0.000
! Crystal system: tetragonal
! Symmetry: I-42m (121)
! V (Å³/cell): 364.5

Quick one: least stable of them? (1)